# 1
Below is crystalline BeAl2Te at its relaxed geometry, with properties calculated at the PBE level.

The space group is Cm (No. 8) and the conventional cell measures 7.149, 4.051 and 5.563 Å, with angles of 90.00, 95.09 and 90.00 degrees. The asymmetric unit holds Be at (0.000, 0.000, 0.000), Al at (0.158, 0.500, 0.833), Al at (0.341, 0.000, 0.086) and Te at (0.111, 0.000, 0.462).

Its energy above the most stable polymorph in this dataset is 0.000 eV/atom. The formation energy (no corrections) comes out at 0.39 eV per formula unit. The total energy comes out at -3.490 eV/atom.

=====

# 2
Below is crystalline BeAl2Te2 at its relaxed geometry, with properties calculated at the PBE level.

The space group is I4/mmm (No. 139) and the conventional cell measures 4.993, 4.993 and 12.284 Å, with angles of 90.00, 90.00 and 90.00 degrees. The asymmetric unit holds Be at (0.000, 0.000, 0.000), Al at (0.000, 0.500, 0.250) and Te at (0.000, 0.000, 0.351).

Its energy above the most stable polymorph in this dataset is 0.264 eV/atom. The formation energy (no corrections) comes out at 3.04 eV per formula unit. The total energy comes out at -2.890 eV/atom.

=====

# 3
Below is crystalline BeAlTe at its relaxed geometry, with properties calculated at the PBE level.

The space group is P1 (No. 1) and the conventional cell measures 4.219, 6.109 and 6.267 Å, with angles of 93.16, 109.41 and 109.78 degrees. The asymmetric unit holds Be at (0.000, 0.000, 0.000), Be at (0.476, 0.682, 0.375), Al at (0.289, 0.268, 0.352), Al at (0.999, 0.576, 0.517), Te at (0.374, 0.762, 0.983) and Te at (0.853, 0.088, 0.607).

Its energy above the most stable polymorph in this dataset is 0.109 eV/atom. The formation energy (no corrections) comes out at 0.22 eV per formula unit. The total energy comes out at -3.465 eV/atom.

=====

# 4
Below is crystalline BeAlTe at its relaxed geometry, with properties calculated at the PBE level.

The space group is P1 (No. 1) and the conventional cell measures 4.038, 4.079 and 9.127 Å, with angles of 93.40, 91.51 and 102.69 degrees. The asymmetric unit holds Be at (0.000, 0.000, 0.000), Be at (0.483, 0.964, 0.862), Al at (0.525, 0.244, 0.110), Al at (0.975, 0.484, 0.877), Te at (0.435, 0.400, 0.678) and Te at (0.824, 0.827, 0.252).

Its energy above the most stable polymorph in this dataset is 0.018 eV/atom. The formation energy (no corrections) comes out at -0.05 eV per formula unit. The total energy comes out at -3.555 eV/atom.

=====

# 5
Below is crystalline BeAl2Te at its relaxed geometry, with properties calculated at the PBE level.

The space group is I-42d (No. 122) and the conventional cell measures 6.063, 6.063 and 10.856 Å, with angles of 90.00, 90.00 and 90.00 degrees. The asymmetric unit holds Be at (0.000, 0.000, 0.000), Al at (0.193, 0.250, 0.125) and Te at (0.000, 0.000, 0.500).

Its energy above the most stable polymorph in this dataset is 0.275 eV/atom. The formation energy (no corrections) comes out at 1.49 eV per formula unit. The total energy comes out at -3.215 eV/atom.

=====

# 6
Below is crystalline BeAl2Te at its relaxed geometry, with properties calculated at the PBE level.

The space group is P4mm (No. 99) and the conventional cell measures 3.417, 3.417 and 6.631 Å, with angles of 90.00, 90.00 and 90.00 degrees. The asymmetric unit holds Be at (0.000, 0.000, 0.000), Al at (0.000, 0.000, 0.579), Al at (0.500, 0.500, 0.776) and Te at (0.500, 0.500, 0.180).

Its energy above the most stable polymorph in this dataset is 0.254 eV/atom. The formation energy (no corrections) comes out at 1.41 eV per formula unit. The total energy comes out at -3.235 eV/atom.

=====

# 7
Below is crystalline BeAl2Te at its relaxed geometry, with properties calculated at the PBE level.

The space group is I4/mmm (No. 139) and the conventional cell measures 3.808, 3.808 and 10.569 Å, with angles of 90.00, 90.00 and 90.00 degrees. The asymmetric unit holds Be at (0.000, 0.000, 0.000), Al at (0.000, 0.500, 0.250) and Te at (0.000, 0.000, 0.500).

Its energy above the most stable polymorph in this dataset is 0.298 eV/atom. The formation energy (no corrections) comes out at 1.59 eV per formula unit. The total energy comes out at -3.192 eV/atom.

=====

# 8
Below is crystalline Be2AlTe at its relaxed geometry, with properties calculated at the PBE level.

The space group is Cm (No. 8) and the conventional cell measures 6.958, 3.693 and 5.724 Å, with angles of 90.00, 110.12 and 90.00 degrees. The asymmetric unit holds Be at (0.000, 0.000, 0.000), Be at (0.165, 0.500, 0.980), Al at (0.389, 0.000, 0.198) and Te at (0.079, 0.000, 0.623).

Its energy above the most stable polymorph in this dataset is 0.000 eV/atom. The formation energy (no corrections) comes out at 0.85 eV per formula unit. The total energy comes out at -3.373 eV/atom.